Computed, not measured: Zn2FeBiOs after structural relaxation at the PBE-GGA level of DFT.

Geometry as CIF:
```
data_Zn2FeBiOs
_chemical_formula_sum 'Zn2 Fe1 Bi1 Os1'
_space_group_name_H-M_alt 'P 4/m m m'
_space_group_IT_number 123
_space_group_name_Hall '-P 4 2'
_cell_length_a 4.534
_cell_length_b 4.534
_cell_length_c 4.813
_cell_angle_alpha 90.00
_cell_angle_beta 90.00
_cell_angle_gamma 90.00
loop_
_atom_site_label
_atom_site_fract_x
_atom_site_fract_y
_atom_site_fract_z
Zn1 0.000 0.500 0.000
Fe1 0.000 0.000 0.000
Bi1 0.000 0.000 0.500
Os1 0.500 0.500 0.500
```

Results
As for the calculated total energy: -19.7 eV per cell. The formation energy is 1274.6 meV/atom.